The following is a PBE calculation of a geometry-optimized CeSm4Dy structure, from Alexandria.

Size of the total moment ... 2.19 Bohr magnetons per cell
Space-group type ... C2/m (12)
Energy above the lowest structure with this stoichiometry ... 0.0 meV per atom
Calculated formation energy ... 60 meV per atom

POSCAR file:
```
CeSm4Dy
1.0
10.811 0.000 0.000
0.000 6.148 0.976
0.000 1.126 6.128
Sm Ce Dy
8 2 2
direct
0.334 0.500 0.499
0.834 0.500 0.001
0.664 0.999 0.000
0.666 0.500 0.501
0.836 0.999 0.500
0.336 0.001 0.000
0.164 0.001 0.500
0.166 0.500 0.999
0.000 0.500 0.500
0.500 0.500 0.000
0.500 0.000 0.500
0.000 0.000 0.000
```


The following is a PBE calculation of a geometry-optimized CeSmDy2 structure, from Alexandria.

Size of the total moment ... 1.06 Bohr magnetons per cell
Space-group type ... Fm-3m (225)
Energy above the lowest structure with this stoichiometry ... 126.8 meV per atom
Calculated formation energy ... 175 meV per atom

POSCAR file:
```
CeSmDy2
1.0
5.676 0.000 0.000
2.838 4.916 0.000
2.838 1.639 4.635
Sm Dy Ce
1 2 1
direct
0.500 0.500 0.500
0.250 0.250 0.250
0.750 0.750 0.750
0.000 0.000 0.000
```


The following is a PBE calculation of a geometry-optimized CeSmDy5 structure, from Alexandria.

Size of the total moment ... 2.59 Bohr magnetons per cell
Space-group type ... C2/c (15)
Calculated formation energy ... 223 meV per atom

POSCAR file:
```
CeSmDy5
1.0
-1.246 2.925 5.665
1.406 -6.299 -0.163
12.105 3.892 0.652
Dy Sm Ce
10 2 2
direct
0.679 0.332 0.560
0.779 0.529 0.824
0.750 0.529 0.324
0.245 0.000 0.250
0.654 0.332 0.060
0.250 0.471 0.676
0.755 0.000 0.750
0.221 0.471 0.176
0.321 0.668 0.440
0.346 0.668 0.940
0.729 0.000 0.250
0.271 0.000 0.750
0.000 0.000 0.500
0.000 0.000 0.000
```


The following is a PBE calculation of a geometry-optimized Ce2SmDy structure, from Alexandria.

Size of the total moment ... 2.33 Bohr magnetons per cell
Space-group type ... Fm-3m (225)
Energy above the lowest structure with this stoichiometry ... 153.4 meV per atom
Calculated formation energy ... 256 meV per atom

POSCAR file:
```
Ce2SmDy
1.0
-1.051 -5.490 -0.915
4.071 -3.844 0.854
-0.359 -3.582 4.373
Sm Dy Ce
1 1 2
direct
0.500 0.500 0.500
0.000 0.000 0.000
0.250 0.250 0.250
0.750 0.750 0.750
```